Entry 1:
VASP calculation (PBEsol) on crystalline KAl2CuPt at its relaxed geometry.

Computed properties:
The value obtained for the density is 5.58 g cm⁻³. For the total DFT energy (no corrections), the calculation gives -3.56 eV per atom. The volume is 20.92 Å³/atom.

Lattice parameters (Å, degrees): 4.5458 4.5458 5.0630 90.00 90.00 90.00
Space group P4/mmm (No. 123)
Symmetry-distinct sites (fractional):
K (0.0000, 0.0000, 0.0000) x1
Al (0.0000, 0.5000, 0.5000) x2
Cu (0.0000, 0.0000, 0.5000) x1
Pt (0.5000, 0.5000, 0.0000) x1

***

Entry 2:
VASP calculation (PBEsol) on crystalline Ge3As4 at its relaxed geometry.

Computed properties:
The value obtained for the density is 5.42 g cm⁻³. For the total DFT energy (no corrections), the calculation gives -5.01 eV per atom. The volume is 22.65 Å³/atom.

Lattice parameters (Å, degrees): 5.4122 5.4122 5.4122 90.00 90.00 90.00
Space group P-43m (No. 215)
Symmetry-distinct sites (fractional):
Ge (0.0000, 0.0000, 0.5000) x3
As (0.2852, 0.2852, 0.7148) x4

***

Entry 3:
VASP calculation (PBEsol) on crystalline KAg4Ru at its relaxed geometry.

Computed properties:
The value obtained for the density is 8.26 g cm⁻³. For the total DFT energy (no corrections), the calculation gives -3.41 eV per atom. The volume is 19.15 Å³/atom.

Lattice parameters (Å, degrees): 7.7171 7.7171 7.7171 90.00 90.00 90.00
Space group F-43m (No. 216)
Symmetry-distinct sites (fractional):
K (0.0000, 0.0000, 0.0000) x4
Ag (0.1244, 0.1244, 0.6244) x16
Ru (0.2500, 0.2500, 0.2500) x4

***

Entry 4:
VASP calculation (PBEsol) on crystalline CdHg2 at its relaxed geometry.

Computed properties:
As for the relative energy among the computed polymorphs: 24 meV per atom. The value obtained for the density is 12.32 g cm⁻³. For the total DFT energy (no corrections), the calculation gives -0.76 eV per atom. The volume is 23.07 Å³/atom.

Lattice parameters (Å, degrees): 4.6476 4.6476 3.6992 90.00 90.00 120.00
Space group P-3m1 (No. 164)
Symmetry-distinct sites (fractional):
Cd (0.0000, 0.0000, 0.0000) x1
Hg (0.3333, 0.6667, 0.3289) x2

***

Formation energy across the listed records, respectively: 562; 21; 680; 16 meV per atom.